No. 1
DFT (PBE-GGA) results for a geometry-optimized SrCoOs2 structure.

Calculated values
The value obtained for the offset from the most stable computed form is 636.9 meV per atom. For the magnetization, the calculation gives 1.62 μB per formula unit. For the calculated formation energy, the calculation gives 904 meV/atom.

Cell: 2.7821 2.7821 29.0394 Å, 90.00 90.00 120.00°
Closest atoms and distances in Å follow each position.
Element x y z (fractional)
Sr (0.0000, 0.0000, 0.0000)  6 Sr 2.78
Sr (0.3333, 0.6667, 0.6667)  6 Sr 2.78
Sr (0.6667, 0.3333, 0.3333)  6 Sr 2.78
Co (0.0000, 0.0000, 0.5000)  6 Os 2.57, 6 Co 2.78
Co (0.3333, 0.6667, 0.1667)  6 Os 2.57, 6 Co 2.78
Co (0.6667, 0.3333, 0.8333)  6 Os 2.57, 6 Co 2.78
Os (0.0000, 0.0000, 0.2358)  3 Co 2.57, 6 Os 2.78
Os (0.0000, 0.0000, 0.7642)  3 Co 2.57, 6 Os 2.78
Os (0.3333, 0.6667, 0.4309)  3 Co 2.57, 6 Os 2.78
Os (0.3333, 0.6667, 0.9025)  3 Co 2.57, 6 Os 2.78
Os (0.6667, 0.3333, 0.0975)  3 Co 2.57, 6 Os 2.78
Os (0.6667, 0.3333, 0.5691)  3 Co 2.57, 6 Os 2.78

No. 2
DFT (PBE-GGA) results for a geometry-optimized Sr2Ga3HgPt4 structure.

Calculated values
For the magnetization, the calculation gives 0.00 μB per formula unit. For the calculated formation energy, the calculation gives -759 meV/atom.

Cell: 4.4749 4.4749 10.5790 Å, 90.00 90.00 90.00°
Closest atoms and distances in Å follow each position.
Element x y z (fractional)
Sr (0.0000, 0.5000, 0.2423)  8 Pt 3.37-3.40, 6 Ga 3.43-3.53, 2 Hg 3.53
Sr (0.5000, 0.0000, 0.7577)  8 Pt 3.37-3.40, 6 Ga 3.43-3.53, 2 Hg 3.53
Ga (0.0000, 0.5000, 0.8831)  5 Pt 2.48-2.56
Ga (0.5000, 0.0000, 0.1169)  5 Pt 2.48-2.56
Ga (0.5000, 0.5000, 0.5000)  4 Pt 2.73
Hg (0.0000, 0.0000, 0.5000)  4 Pt 2.73
Pt (0.0000, 0.0000, 0.0000)  4 Ga 2.56
Pt (0.0000, 0.5000, 0.6486)  3 Ga 2.48-2.73, 2 Hg 2.73
Pt (0.5000, 0.0000, 0.3514)  3 Ga 2.48-2.73, 2 Hg 2.73
Pt (0.5000, 0.5000, 0.0000)  4 Ga 2.56

No. 3
DFT (PBE-GGA) results for a geometry-optimized Ni2TeBr structure.

Calculated values
The value obtained for the energy relative to the elements, uncorrected is 0.12 eV/f.u. The value obtained for the offset from the most stable computed form is 116.3 meV per atom. For the magnetization, the calculation gives 0.00 μB per formula unit.

Cell: 3.6319 3.6319 19.2668 Å, 90.00 90.00 120.00°
Closest atoms and distances in Å follow each position.
Element x y z (fractional)
Ni (0.0000, 0.0000, 0.2447)  3 Te 2.58, 3 Br 2.70
Ni (0.0000, 0.0000, 0.7553)  3 Te 2.58, 3 Br 2.70
Ni (0.3333, 0.6667, 0.4219)  3 Te 2.58, 3 Br 2.70
Ni (0.3333, 0.6667, 0.9114)  3 Te 2.58, 3 Br 2.70
Ni (0.6667, 0.3333, 0.0886)  3 Te 2.58, 3 Br 2.70
Ni (0.6667, 0.3333, 0.5781)  3 Te 2.58, 3 Br 2.70
Te (0.0000, 0.0000, 0.5000)  6 Ni 2.58
Te (0.3333, 0.6667, 0.1667)  6 Ni 2.58
Te (0.6667, 0.3333, 0.8333)  6 Ni 2.58
Br (0.0000, 0.0000, 0.0000)  6 Ni 2.70
Br (0.3333, 0.6667, 0.6667)  6 Ni 2.70
Br (0.6667, 0.3333, 0.3333)  6 Ni 2.70